{"formula": "TmAs2RhO8", "functional": "PBE-GGA", "state": "relaxed", "cell": [[-1.6511, 0.4621, -5.1807], [-0.2445, -4.8338, 2.5208], [-5.9958, 1.3632, 2.0325]], "species": ["O", "O", "O", "O", "O", "O", "O", "O", "As", "As", "Tm", "Rh"], "frac_coords": [[0.8443, 0.1557, 0.2200], [0.1557, 0.8443, 0.7800], [0.6886, 0.8443, 0.7800], [0.6667, 0.3333, 0.5449], [0.3333, 0.6667, 0.4551], [0.1557, 0.3114, 0.7800], [0.3114, 0.1557, 0.2200], [0.8443, 0.6886, 0.2200], [0.3333, 0.6667, 0.7140], [0.6667, 0.3333, 0.2860], [0.0000, 0.0000, 0.5000], [0.0000, 0.0000, 0.0000]], "vol_a3_per_cell": 167.02, "e_form_raw_mev_per_atom": -1463.0}